Entry 1:
# Pr2PuThSb4 PBE-GGA optimized geometry
# Raw total energy = -6.97 eV/atom
data_Pr2PuThSb4
_chemical_formula_sum 'Pr2 Pu1 Th1 Sb4'
_space_group_name_H-M_alt 'P 1 2/m 1'
_space_group_IT_number 10
_space_group_name_Hall '-P 2y'
_cell_length_a 7.817
_cell_length_b 4.519
_cell_length_c 7.832
_cell_angle_alpha 90.00
_cell_angle_beta 109.45
_cell_angle_gamma 90.00
loop_
_atom_site_label
_atom_site_type_symbol
_atom_site_fract_x
_atom_site_fract_y
_atom_site_fract_z
Pr1 Pr 0.000 0.000 0.000
Pr2 Pr 0.500 0.500 0.000
Pu1 Pu 0.000 0.500 0.500
Th1 Th 0.500 0.000 0.500
Sb1 Sb 0.246 0.000 0.743
Sb2 Sb 0.250 0.500 0.255

Entry 2:
# PrPuTh2Sb4 PBE-GGA optimized geometry
# Raw total energy = -7.24 eV/atom
data_PrPuTh2Sb4
_chemical_formula_sum 'Pr1 Pu1 Th2 Sb4'
_space_group_name_H-M_alt 'P 1 2/m 1'
_space_group_IT_number 10
_space_group_name_Hall '-P 2y'
_cell_length_a 7.796
_cell_length_b 4.515
_cell_length_c 7.810
_cell_angle_alpha 90.00
_cell_angle_beta 109.56
_cell_angle_gamma 90.00
loop_
_atom_site_label
_atom_site_type_symbol
_atom_site_fract_x
_atom_site_fract_y
_atom_site_fract_z
Pr1 Pr 0.000 0.000 0.000
Pu1 Pu 0.000 0.500 0.500
Th1 Th 0.500 0.000 0.500
Th2 Th 0.500 0.500 0.000
Sb1 Sb 0.248 0.000 0.746
Sb2 Sb 0.251 0.500 0.253

Entry 3:
# PrTmPu2Sb4 PBE-GGA optimized geometry
# Raw total energy = -7.65 eV/atom
data_PrTmPu2Sb4
_chemical_formula_sum 'Pr1 Tm1 Pu2 Sb4'
_space_group_name_H-M_alt 'P 1 2/m 1'
_space_group_IT_number 10
_space_group_name_Hall '-P 2y'
_cell_length_a 7.671
_cell_length_b 4.445
_cell_length_c 7.693
_cell_angle_alpha 90.00
_cell_angle_beta 109.54
_cell_angle_gamma 90.00
loop_
_atom_site_label
_atom_site_type_symbol
_atom_site_fract_x
_atom_site_fract_y
_atom_site_fract_z
Pr1 Pr 0.000 0.000 0.000
Tm1 Tm 0.000 0.500 0.500
Pu1 Pu 0.500 0.000 0.500
Pu2 Pu 0.500 0.500 0.000
Sb1 Sb 0.251 0.000 0.743
Sb2 Sb 0.256 0.500 0.259

Entry 4:
# Pr2TmPuSb4 PBE-GGA optimized geometry
# Raw total energy = -6.60 eV/atom
data_Pr2TmPuSb4
_chemical_formula_sum 'Pr2 Tm1 Pu1 Sb4'
_space_group_name_H-M_alt 'P 1 2/m 1'
_space_group_IT_number 10
_space_group_name_Hall '-P 2y'
_cell_length_a 7.734
_cell_length_b 4.478
_cell_length_c 7.737
_cell_angle_alpha 90.00
_cell_angle_beta 109.45
_cell_angle_gamma 90.00
loop_
_atom_site_label
_atom_site_type_symbol
_atom_site_fract_x
_atom_site_fract_y
_atom_site_fract_z
Pr1 Pr 0.000 0.000 0.000
Pr2 Pr 0.500 0.500 0.000
Tm1 Tm 0.000 0.500 0.500
Pu1 Pu 0.500 0.000 0.500
Sb1 Sb 0.244 0.000 0.737
Sb2 Sb 0.252 0.500 0.262

Entry 5:
# PrPu2USb4 PBE-GGA optimized geometry
# Raw total energy = -8.28 eV/atom
data_PrPu2USb4
_chemical_formula_sum 'Pr2 Pu4 U2 Sb8'
_space_group_name_H-M_alt 'C 1 m 1'
_space_group_IT_number 8
_space_group_name_Hall 'C -2y'
_cell_length_a 14.061
_cell_length_b 6.295
_cell_length_c 6.295
_cell_angle_alpha 90.00
_cell_angle_beta 116.55
_cell_angle_gamma 90.00
loop_
_atom_site_label
_atom_site_type_symbol
_atom_site_fract_x
_atom_site_fract_y
_atom_site_fract_z
Pr1 Pr 0.000 0.000 0.000
Pu1 Pu 0.000 0.500 0.501
Pu2 Pu 0.250 0.500 0.251
U1 U 0.250 0.000 0.750
Sb1 Sb 0.003 0.000 0.503
Sb2 Sb 0.246 0.500 0.747
Sb3 Sb 0.254 0.000 0.254
Sb4 Sb 0.497 0.000 0.998

Entry 6:
# Pr2PuUSb4 PBE-GGA optimized geometry
# Raw total energy = -7.24 eV/atom
data_Pr2PuUSb4
_chemical_formula_sum 'Pr2 Pu1 U1 Sb4'
_space_group_name_H-M_alt 'P 1 2/m 1'
_space_group_IT_number 10
_space_group_name_Hall '-P 2y'
_cell_length_a 7.729
_cell_length_b 4.456
_cell_length_c 7.808
_cell_angle_alpha 90.00
_cell_angle_beta 109.12
_cell_angle_gamma 90.00
loop_
_atom_site_label
_atom_site_type_symbol
_atom_site_fract_x
_atom_site_fract_y
_atom_site_fract_z
Pr1 Pr 0.000 0.000 0.000
Pr2 Pr 0.000 0.500 0.500
Pu1 Pu 0.500 0.000 0.500
U1 U 0.500 0.500 0.000
Sb1 Sb 0.261 0.000 0.755
Sb2 Sb 0.262 0.500 0.251

Entry 7:
# PrPuZnSb PBE-GGA optimized geometry
# Raw total energy = -6.54 eV/atom
data_PrPuZnSb
_chemical_formula_sum 'Pr4 Pu4 Zn4 Sb4'
_space_group_name_H-M_alt 'F -4 3 m'
_space_group_IT_number 216
_space_group_name_Hall 'F -4 2 3'
_cell_length_a 7.522
_cell_length_b 7.522
_cell_length_c 7.522
_cell_angle_alpha 90.00
_cell_angle_beta 90.00
_cell_angle_gamma 90.00
loop_
_atom_site_label
_atom_site_type_symbol
_atom_site_fract_x
_atom_site_fract_y
_atom_site_fract_z
Pr1 Pr 0.000 0.000 0.000
Pu1 Pu 0.000 0.000 0.500
Zn1 Zn 0.250 0.250 0.250
Sb1 Sb 0.250 0.250 0.750

Entry 8:
# PrPuSc2 PBE-GGA optimized geometry
# Formation enthalpy at 0 K = 3.72 kcal/mol of atoms
# Energy above the most stable polymorph in this dataset = 44.1 meV/atom
data_PrPuSc2
_chemical_formula_sum 'Pr1 Pu1 Sc2'
_space_group_name_H-M_alt 'P 4/m m m'
_space_group_IT_number 123
_space_group_name_Hall '-P 4 2'
_cell_length_a 4.834
_cell_length_b 4.834
_cell_length_c 4.710
_cell_angle_alpha 90.00
_cell_angle_beta 90.00
_cell_angle_gamma 90.00
loop_
_atom_site_label
_atom_site_type_symbol
_atom_site_fract_x
_atom_site_fract_y
_atom_site_fract_z
Pr1 Pr 0.000 0.000 0.000
Pu1 Pu 0.500 0.500 0.000
Sc1 Sc 0.000 0.500 0.500

Entry 9:
# PrPuSc2 PBE-GGA optimized geometry
# Formation enthalpy at 0 K = 2.70 kcal/mol of atoms
# Energy above the most stable polymorph in this dataset = 0.0 meV/atom
data_PrPuSc2
_chemical_formula_sum 'Pr1 Pu1 Sc2'
_space_group_name_H-M_alt 'P 4/m m m'
_space_group_IT_number 123
_space_group_name_Hall '-P 4 2'
_cell_length_a 3.402
_cell_length_b 3.402
_cell_length_c 9.486
_cell_angle_alpha 90.00
_cell_angle_beta 90.00
_cell_angle_gamma 90.00
loop_
_atom_site_label
_atom_site_type_symbol
_atom_site_fract_x
_atom_site_fract_y
_atom_site_fract_z
Pr1 Pr 0.000 0.000 0.000
Pu1 Pu 0.000 0.000 0.500
Sc1 Sc 0.500 0.500 0.266

Entry 10:
# PrPuSc2 PBE-GGA optimized geometry
# Formation enthalpy at 0 K = 4.09 kcal/mol of atoms
# Energy above the most stable polymorph in this dataset = 60.3 meV/atom
data_PrPuSc2
_chemical_formula_sum 'Pr4 Pu4 Sc8'
_space_group_name_H-M_alt 'F m -3 m'
_space_group_IT_number 225
_space_group_name_Hall '-F 4 2 3'
_cell_length_a 7.642
_cell_length_b 7.642
_cell_length_c 7.642
_cell_angle_alpha 90.00
_cell_angle_beta 90.00
_cell_angle_gamma 90.00
loop_
_atom_site_label
_atom_site_type_symbol
_atom_site_fract_x
_atom_site_fract_y
_atom_site_fract_z
Pr1 Pr 0.000 0.000 0.000
Pu1 Pu 0.000 0.000 0.500
Sc1 Sc 0.250 0.250 0.250

Entry 11:
# PrPuSc2 PBE-GGA optimized geometry
# Formation enthalpy at 0 K = 3.04 kcal/mol of atoms
# Energy above the most stable polymorph in this dataset = 14.8 meV/atom
data_PrPuSc2
_chemical_formula_sum 'Pr3 Pu3 Sc6'
_space_group_name_H-M_alt 'R 3 m'
_space_group_IT_number 160
_space_group_name_Hall 'R 3 -2"'
_cell_length_a 3.3846
_cell_length_b 3.3846
_cell_length_c 32.9902
_cell_angle_alpha 90.00
_cell_angle_beta 90.00
_cell_angle_gamma 120.00
loop_
_atom_site_label
_atom_site_type_symbol
_atom_site_fract_x
_atom_site_fract_y
_atom_site_fract_z
Pr1 Pr 0.0000 0.0000 0.0000
Pu1 Pu 0.0000 0.0000 0.8343
Sc1 Sc 0.0000 0.0000 0.2465
Sc2 Sc 0.0000 0.0000 0.4216

Entry 12:
# PrPuSc2 PBE-GGA optimized geometry
# Formation enthalpy at 0 K = 5.50 kcal/mol of atoms
# Energy above the most stable polymorph in this dataset = 121.4 meV/atom
data_PrPuSc2
_chemical_formula_sum 'Pr3 Pu3 Sc6'
_space_group_name_H-M_alt 'R -3 m'
_space_group_IT_number 166
_space_group_name_Hall '-R 3 2"'
_cell_length_a 3.2889
_cell_length_b 3.2889
_cell_length_c 35.1415
_cell_angle_alpha 90.00
_cell_angle_beta 90.00
_cell_angle_gamma 120.00
loop_
_atom_site_label
_atom_site_type_symbol
_atom_site_fract_x
_atom_site_fract_y
_atom_site_fract_z
Pr1 Pr 0.0000 0.0000 0.0000
Pu1 Pu 0.0000 0.0000 0.5000
Sc1 Sc 0.0000 0.0000 0.0928

| no. | V (A^3/atom) |
| --- | --- |
| 1 | 32.62 |
| 2 | 32.38 |
| 3 | 30.90 |
| 4 | 31.59 |
| 5 | 31.15 |
| 6 | 31.76 |
| 7 | 26.60 |
| 8 | 27.52 |
| 9 | 27.45 |
| 10 | 27.90 |
| 11 | 27.27 |
| 12 | 27.43 |